DFT (GGA-PBE) results for a relaxed NdErPuTl crystal.

It has space group F-43m (No. 216), with a = 7.7304 Å, b = 7.7304 Å, c = 7.7304 Å, α = 90.00°, β = 90.00° and γ = 90.00°. Symmetry generates all atoms from Nd at (0.0000, 0.0000, 0.0000), Er at (0.0000, 0.0000, 0.5000), Pu at (0.2500, 0.2500, 0.2500) and Tl at (0.2500, 0.2500, 0.7500).

The total energy comes out at -6.46 eV per atom. The crystal system is cubic. The value obtained for the formation enthalpy at 0 K is 18 kJ/mol of formula units.

DFT (GGA-PBE) results for a relaxed Nd3Er2Tm6Pu crystal.

It has space group C2/m (No. 12), with a = 6.0964 Å, b = 10.5614 Å, c = 11.5902 Å, α = 90.00°, β = 100.16° and γ = 90.00°. Symmetry generates all atoms from Nd at (0.0000, 0.0000, 0.0000), Nd at (0.0000, 0.3314, 0.0000), Er at (0.0000, 0.1666, 0.5000), Tm at (0.2450, 0.3367, 0.7427), Tm at (0.2451, 0.5000, 0.2568) and Pu at (0.0000, 0.5000, 0.5000).

The total energy comes out at -5.14 eV per atom. The crystal system is monoclinic. The value obtained for the formation enthalpy at 0 K is 280 kJ/mol of formula units.

DFT (GGA-PBE) results for a relaxed NdYErPu crystal.

It has space group F-43m (No. 216), with a = 7.9777 Å, b = 7.9777 Å, c = 7.9777 Å, α = 90.00°, β = 90.00° and γ = 90.00°. Symmetry generates all atoms from Nd at (0.0000, 0.0000, 0.0000), Y at (0.2500, 0.2500, 0.2500), Er at (0.2500, 0.2500, 0.7500) and Pu at (0.0000, 0.0000, 0.5000).

The total energy comes out at -7.32 eV per atom. The crystal system is cubic. The value obtained for the formation enthalpy at 0 K is 81 kJ/mol of formula units.